A relaxed Tl2CoCuF6 crystal, computed with PBE+U.

Computed properties:
- DOS(E_F) (states/eV per cell) = 5.18
- E_tot (eV per atom) = -4.300
- magnetic moment (μB per atom) = 0.396
- space group = No. 139

```
Tl2CoCuF6
1.0
-2.991 2.991 4.161
2.991 -2.991 4.161
2.991 2.991 -4.161
Tl Co Cu F
2 1 1 6
direct
0.250 0.750 0.500 Tl
0.750 0.250 0.500 Tl
0.000 0.000 0.000 Co
0.500 0.500 0.000 Cu
0.239 0.239 0.478 F
0.239 0.761 0.000 F
0.271 0.271 0.000 F
0.729 0.729 0.000 F
0.761 0.239 0.000 F
0.761 0.761 0.522 F
```